Entry 1:
5
Lattice="-2.279 -0.353 3.601 3.551 -1.037 2.145 0.697 4.133 0.846" Properties=species:S:1:pos:R:3 comment="CsMo3H GGA-PBE optimized geometry" dft_energy_ev_per_atom=-5.557 spacegroup=Pm-3m pbc="T T T"
Cs 0.984 1.372 3.296
Mo 0.348 2.067 0.423
H 0.000 0.000 0.000
Mo 1.775 -0.519 1.073
Mo -1.139 -0.176 1.801

***

Entry 2:
6
Lattice="0.161 -4.200 4.933 -5.288 0.225 3.739 1.011 -0.477 -6.383" Properties=species:S:1:pos:R:3 comment="SrMn2 GGA-PBE optimized geometry" formation_energy_mev_per_atom=628 spacegroup=I4/mcm pbc="T T T"
Mn -3.747 -2.888 3.223
Mn -0.369 -1.563 -0.934
Mn -2.683 -0.989 -2.039
Sr -1.282 -0.994 2.168
Mn -1.434 -3.462 4.328
Sr -3.845 -2.981 6.504

***

no.,Fermi-level density of states (states/eV/atom)
1,1.242
2,0.922